The following is a DFT calculation (SCAN) of a crystal of LiZrIn2 relaxed with PBEsol.

```
LiZrIn2
1.0
-0.4447 0.3004 2.9815
-4.9300 -1.9265 -0.5412
3.0435 -4.2737 0.8845
Li Zr In
1 1 2
Direct
0.5000 0.5000 0.5000
0.5000 0.0000 0.0000
0.0000 0.5000 0.0000
0.0000 0.0000 0.5000
```

Properties
The value obtained for the formation energy from the elements is -1.66 eV per formula unit. The density of states at the Fermi level comes out at 1.88 states/eV per cell. As for the space-group type: Cmmm, No. 65.



The following is a DFT calculation (SCAN) of a crystal of LiZrIn2 relaxed with PBEsol.

```
LiZrIn2
1.0
-0.1018 -2.9841 -0.5499
1.6477 0.6676 4.4531
-6.0201 -0.0602 1.4409
In Zr Li
2 1 1
Direct
0.2525 0.5051 0.2731
0.7475 0.4949 0.7269
0.5000 0.0000 0.0000
0.0000 0.0000 0.5000
```

Properties
The value obtained for the formation energy from the elements is -0.73 eV per formula unit. The density of states at the Fermi level comes out at 1.84 states/eV per cell. As for the space-group type: C2/m, No. 12.



The following is a DFT calculation (SCAN) of a crystal of LiZrIn2 relaxed with PBEsol.

```
LiZrIn2
1.0
3.2477 0.0000 0.0000
0.0000 5.0594 0.0000
0.0000 0.0000 5.0591
Li In Zr
1 2 1
Direct
0.5000 0.0000 0.6248
0.0000 0.0000 0.1250
0.0000 0.5000 0.6251
0.5000 0.5000 0.1251
```

Properties
The value obtained for the formation energy from the elements is -1.65 eV per formula unit. The density of states at the Fermi level comes out at 1.57 states/eV per cell. As for the space-group type: P4/mmm, No. 123.



The following is a DFT calculation (SCAN) of a crystal of LuIn2 relaxed with PBEsol.

```
LuIn2
1.0
-1.9912 -3.6556 1.6497
3.8146 -1.1047 2.1563
-1.0746 5.4442 4.6901
Lu In
2 4
Direct
0.6565 0.0000 0.3129
0.3435 0.0000 0.6871
0.8245 0.5000 0.6490
0.0000 0.0000 0.0000
0.1755 0.5000 0.3510
0.5000 0.5000 0.0000
```

Properties
The value obtained for the formation energy from the elements is -1.50 eV per formula unit. The density of states at the Fermi level comes out at 2.60 states/eV per cell. As for the space-group type: Cmmm, No. 65.



The following is a DFT calculation (SCAN) of a crystal of NdLuIn2 relaxed with PBEsol.

```
NdLuIn2
1.0
-2.8805 1.6885 -4.0616
-0.8104 -3.1441 -4.1356
-4.7723 -2.0311 -0.8631
In Lu Nd
2 1 1
Direct
0.7500 0.7500 0.7500
0.2500 0.2500 0.2500
0.5000 0.5000 0.5000
0.0000 0.0000 0.0000
```

Properties
The value obtained for the formation energy from the elements is -2.34 eV per formula unit. The density of states at the Fermi level comes out at 2.00 states/eV per cell. As for the space-group type: Fm-3m, No. 225.



The following is a DFT calculation (SCAN) of a crystal of LuInNi4 relaxed with PBEsol.

```
LuInNi4
1.0
-4.7212 0.7705 0.8762
-2.9912 -3.7711 0.6950
-1.8264 -0.8722 4.4221
Ni Lu In
4 1 1
Direct
0.3743 0.3743 0.8770
0.3743 0.3743 0.3743
0.3743 0.8770 0.3743
0.8770 0.3743 0.3743
0.7500 0.7500 0.7500
0.0000 0.0000 0.0000
```

Properties
The value obtained for the formation energy from the elements is -2.48 eV per formula unit. The density of states at the Fermi level comes out at 4.80 states/eV per cell. As for the space-group type: F-43m, No. 216.



The following is a DFT calculation (SCAN) of a crystal of LuInNi2 relaxed with PBEsol.

```
LuInNi2
1.0
-2.4649 -3.1244 2.0112
-0.8707 -3.8409 -2.0910
1.9028 -3.7818 1.4000
In Ni Lu
1 2 1
Direct
0.5000 0.5000 0.5000
0.2500 0.2500 0.2500
0.7500 0.7500 0.7500
0.0000 0.0000 0.0000
```

Properties
The value obtained for the formation energy from the elements is -1.77 eV per formula unit. The density of states at the Fermi level comes out at 2.36 states/eV per cell. As for the space-group type: Fm-3m, No. 225.



The following is a DFT calculation (SCAN) of a crystal of Lu2InPd2 relaxed with PBEsol.

```
Lu2InPd2
1.0
3.5495 0.0000 0.0000
0.0000 7.5260 0.0000
0.0000 0.0000 7.5260
Pd Lu In
4 4 2
Direct
0.0000 0.3707 0.1293
0.0000 0.6293 0.8707
0.0000 0.1293 0.6293
0.0000 0.8707 0.3707
0.5000 0.6710 0.1710
0.5000 0.3290 0.8290
0.5000 0.1710 0.3290
0.5000 0.8290 0.6710
0.0000 0.5000 0.5000
0.0000 0.0000 0.0000
```

Properties
The value obtained for the formation energy from the elements is -5.00 eV per formula unit. The density of states at the Fermi level comes out at 5.45 states/eV per cell. As for the space-group type: P4/mbm, No. 127.



The following is a DFT calculation (SCAN) of a crystal of LuIn2Pd relaxed with PBEsol.

```
LuIn2Pd
1.0
-5.2664 7.3062 -0.1731
-7.2240 0.1644 -7.6630
-8.8453 -0.6881 5.6765
In Pd Lu
20 10 10
Direct
0.7295 0.4907 0.7938
0.7295 0.7938 0.4907
0.5185 0.6174 0.6174
0.2818 0.1627 0.8373
0.5233 0.2062 0.4907
0.2202 0.7938 0.5093
0.1192 0.1627 0.1627
0.5233 0.4907 0.2062
0.7533 0.3826 0.3826
0.9020 0.7432 0.0000
0.6452 0.2568 0.0000
0.2202 0.5093 0.7938
0.1359 0.3826 0.6174
0.1359 0.6174 0.3826
0.9020 0.0000 0.7432
0.2818 0.8373 0.1627
0.0140 0.2062 0.5093
0.4445 0.8373 0.8373
0.6452 0.0000 0.2568
0.0140 0.5093 0.2062
0.3864 0.5000 0.5000
0.8864 0.5000 0.5000
0.6309 0.6771 0.0000
0.3080 0.3229 0.0000
0.7648 0.2119 0.2119
0.1886 0.7881 0.7881
0.9767 0.2119 0.7881
0.3080 0.0000 0.3229
0.6309 0.0000 0.6771
0.9767 0.7881 0.2119
0.5363 0.0000 0.0000
0.9211 0.0000 0.4036
0.6075 0.7207 0.2793
0.9211 0.4036 0.0000
0.3282 0.2793 0.2793
0.3246 0.5964 0.0000
0.0126 0.0000 0.0000
0.3246 0.0000 0.5964
0.6075 0.2793 0.7207
0.8868 0.7207 0.7207
```

Properties
The value obtained for the formation energy from the elements is -2.97 eV per formula unit. The density of states at the Fermi level comes out at 13.29 states/eV per cell. As for the space-group type: I4mm, No. 107.



The following is a DFT calculation (SCAN) of a crystal of PmLuIn2 relaxed with PBEsol.

```
PmLuIn2
1.0
5.2381 0.0000 0.0000
2.6191 4.5363 0.0000
2.6191 1.5121 4.2769
In Lu Pm
2 1 1
Direct
0.7500 0.7500 0.7500
0.2500 0.2500 0.2500
0.0000 0.0000 0.0000
0.5000 0.5000 0.5000
```

Properties
The value obtained for the formation energy from the elements is -2.36 eV per formula unit. The density of states at the Fermi level comes out at 2.00 states/eV per cell. As for the space-group type: Fm-3m, No. 225.



The following is a DFT calculation (SCAN) of a crystal of LuInPt relaxed with PBEsol.

```
LuInPt
1.0
3.7895 0.0000 0.0000
0.0000 7.4461 0.0000
0.0000 -3.7231 6.4485
Lu In Pt
3 3 3
Direct
0.5000 0.0000 0.5943
0.5000 0.4057 0.4057
0.5000 0.5943 0.0000
0.0000 0.2618 0.0000
0.0000 0.0000 0.2618
0.0000 0.7382 0.7382
0.0000 0.6667 0.3333
0.5000 0.0000 0.0000
0.0000 0.3333 0.6667
```

Properties
The value obtained for the formation energy from the elements is -3.60 eV per formula unit. The density of states at the Fermi level comes out at 6.26 states/eV per cell. As for the space-group type: P-62m, No. 189.



The following is a DFT calculation (SCAN) of a crystal of LuInPt2 relaxed with PBEsol.

```
LuInPt2
1.0
-2.0074 2.5788 -3.3474
-4.6542 0.4546 -0.1275
-1.9801 4.0994 1.0766
In Pt Lu
1 2 1
Direct
0.0000 0.0000 0.0000
0.7500 0.7500 0.7500
0.2500 0.2500 0.2500
0.5000 0.5000 0.5000
```

Properties
The value obtained for the formation energy from the elements is -4.31 eV per formula unit. The density of states at the Fermi level comes out at 1.68 states/eV per cell. As for the space-group type: Fm-3m, No. 225.



- What is the formula in the sixth record?
  LuInNi4



- What is the formation energy from the elements in the eleventh record?
  -3.60 eV per formula unit



- What is the formation energy from the elements in the tenth record?
  -2.36 eV per formula unit